Below is a geometry-optimized Tb2DyY2Th structure, with properties calculated at the PBE level.

a = 5.6326 Å, b = 7.0130 Å, c = 9.7852 Å
α = 90.00°, β = 90.00°, γ = 90.00°
Closest atoms and distances in Å follow each position.
Positions (direct):
Th1 0.5000 0.7576 0.3263  5 Tb 3.19-3.51
Tb1 0.0000 0.2577 0.8266  2 Th 3.19, 3 Y 3.25-3.51
Y1 0.5000 0.5076 0.0000  6 Y 3.51-3.66, 2 Th 3.64, 6 Tb 3.73-3.77
Tb2 0.0000 0.7577 0.1734  2 Th 3.19, 3 Y 3.25-3.51
Dy1 0.0000 0.5075 0.4999  2 Dy 3.51, 6 Tb 3.65-3.66, 4 Th 3.73, 2 Y 3.77
Dy2 0.0000 0.0075 0.5001  2 Dy 3.51, 6 Tb 3.65-3.66, 4 Th 3.73, 2 Y 3.77
Tb3 0.5000 0.7575 0.6590  3 Th 3.26-3.51, 2 Y 3.33
Tb4 0.5000 0.2575 0.3410  3 Th 3.26-3.51, 2 Y 3.33
Y2 0.5000 0.0076 0.0000  6 Y 3.51-3.66, 2 Th 3.64, 6 Tb 3.73-3.77
Y3 0.0000 0.2576 0.1586  5 Tb 3.25-3.51
Y4 0.0000 0.7576 0.8414  5 Tb 3.25-3.51
Th2 0.5000 0.2576 0.6737  5 Tb 3.19-3.51

volume	386.5	Å³ per cell
uncorrected energy	-5.61	eV per atom
space group	Pmma (51)
DOS(E_F)	20.874	states/eV per cell